Pm2Co3CuP4: relaxed, PBE-GGA.

Structure (POSCAR):
```
Pm2Co3CuP4
1.0
4.008 0.000 0.000
0.000 4.008 0.000
0.000 0.000 9.221
P Cu Co Pm
4 1 3 2
Cartesian
0.000 0.000 0.000 P
2.004 0.000 5.906 P
2.004 2.004 0.000 P
0.000 2.004 3.315 P
2.004 2.004 4.610 Cu
2.004 0.000 8.214 Co
0.000 0.000 4.610 Co
0.000 2.004 1.007 Co
0.000 2.004 6.983 Pm
2.004 0.000 2.238 Pm
```

Computed properties:
* calculated total energy: -65.7 eV per cell
* total magnetization: 0.58 μB per cell
* formation energy: -0.92 eV per atom
* symmetry: P-4m2